Density functional theory data (GGA-PBE) for a relaxed Tl3S2 crystal.

Computed properties:
Raw formation energy = -0.222 eV per atom
Offset from the most stable computed form = 68 meV/atom

a b c (Å): 7.2902 4.1902 10.2405
angles (deg): 90.00 90.88 90.00
Closest atoms and distances in Å follow each position.
Space group P2_1/m (No. 11)
Symmetry-distinct sites (fractional):
Tl  0.0480  0.2500  0.3277  3 S 2.90-2.94
Tl  0.2695  0.2500  0.0353  3 S 2.83-2.93
Tl  0.4091  0.2500  0.6528  5 S 2.90-3.05
S  0.2369  0.7500  0.4723  6 Tl 2.90-3.05
S  0.3542  0.7500  0.8610  5 Tl 2.83-3.02